Record 1
Density functional theory data (GGA-PBE) for a relaxed structure of AcGe2PdPt.

abc: 6.0235 6.0235 6.0235
angles: 135.93 135.93 64.09
Fractional coordinates of all 5 atoms:
1 Ac 0.0000 0.0000 0.0000
2 Ge 0.3710 0.3710 0.0000
3 Ge 0.6290 0.6290 0.0000
4 Pd 0.7500 0.2500 0.5000
5 Pt 0.2500 0.7500 0.5000


Record 2
Density functional theory data (GGA-PBE) for a relaxed structure of Ac2GePdPt6.

abc: 6.6855 6.6855 8.7753
angles: 128.00 128.00 48.58
Fractional coordinates of all 10 atoms:
1 Ac 0.2333 0.2333 0.1948
2 Ac 0.7667 0.7667 0.8052
3 Ge 0.0000 0.0000 0.5000
4 Pd 0.5000 0.5000 0.0000
5 Pt 0.2499 0.2499 0.5988
6 Pt 0.2523 0.7421 0.7326
7 Pt 0.2579 0.7477 0.2674
8 Pt 0.7421 0.2523 0.7326
9 Pt 0.7477 0.2579 0.2674
10 Pt 0.7501 0.7501 0.4012


Record 3
Density functional theory data (GGA-PBE) for a relaxed structure of Ac2Ge4Pd3Pt.

abc: 4.4972 4.4972 10.2522
angles: 90.00 90.00 90.00
Fractional coordinates of all 10 atoms:
1 Ac 0.0000 0.5000 0.2479
2 Ac 0.5000 0.0000 0.7521
3 Ge 0.0000 0.0000 0.0000
4 Ge 0.0000 0.5000 0.6240
5 Ge 0.5000 0.0000 0.3760
6 Ge 0.5000 0.5000 0.0000
7 Pd 0.0000 0.5000 0.8730
8 Pd 0.5000 0.0000 0.1270
9 Pd 0.5000 0.5000 0.5000
10 Pt 0.0000 0.0000 0.5000


Record 4
Density functional theory data (GGA-PBE) for a relaxed structure of AcGe2PdPt2.

abc: 4.4016 4.4016 7.1496
angles: 90.00 90.00 120.00
Fractional coordinates of all 6 atoms:
1 Ac 0.0000 0.0000 0.0000
2 Ge 0.3333 0.6667 0.3233
3 Ge 0.6667 0.3333 0.6767
4 Pd 0.0000 0.0000 0.5000
5 Pt 0.3333 0.6667 0.6975
6 Pt 0.6667 0.3333 0.3025


Record 5
Density functional theory data (GGA-PBE) for a relaxed structure of Ac2Ge3Pd4Pt.

abc: 4.4023 4.4023 10.7205
angles: 90.00 90.00 90.00
Fractional coordinates of all 10 atoms:
1 Ac 0.0000 0.5000 0.2396
2 Ac 0.5000 0.0000 0.7604
3 Ge 0.0000 0.0000 0.0000
4 Ge 0.0000 0.5000 0.6191
5 Ge 0.5000 0.0000 0.3809
6 Pd 0.0000 0.0000 0.5000
7 Pd 0.0000 0.5000 0.8520
8 Pd 0.5000 0.0000 0.1480
9 Pd 0.5000 0.5000 0.5000
10 Pt 0.5000 0.5000 0.0000


Record 6
Density functional theory data (GGA-PBE) for a relaxed structure of Ac2Ge3Pd12Pt.

abc: 7.8209 7.8209 7.8209
angles: 65.71 65.71 65.71
Fractional coordinates of all 18 atoms:
1 Ac 0.1154 0.1154 0.1154
2 Ac 0.8846 0.8846 0.8846
3 Ge 0.0000 0.5000 0.5000
4 Ge 0.5000 0.0000 0.5000
5 Ge 0.5000 0.5000 0.0000
6 Pd 0.1233 0.6341 0.6341
7 Pd 0.1431 0.1431 0.6042
8 Pd 0.1431 0.6042 0.1431
9 Pd 0.3659 0.3659 0.8767
10 Pd 0.3659 0.8767 0.3659
11 Pd 0.3958 0.8569 0.8569
12 Pd 0.6042 0.1431 0.1431
13 Pd 0.6341 0.1233 0.6341
14 Pd 0.6341 0.6341 0.1233
15 Pd 0.8569 0.3958 0.8569
16 Pd 0.8569 0.8569 0.3958
17 Pd 0.8767 0.3659 0.3659
18 Pt 0.5000 0.5000 0.5000


Record 7
Density functional theory data (GGA-PBE) for a relaxed structure of Ac2Ge4PdPt3.

abc: 4.5163 4.5163 10.1349
angles: 90.00 90.00 90.00
Fractional coordinates of all 10 atoms:
1 Ac 0.0000 0.5000 0.2483
2 Ac 0.5000 0.0000 0.7517
3 Ge 0.0000 0.0000 0.0000
4 Ge 0.0000 0.5000 0.6251
5 Ge 0.5000 0.0000 0.3749
6 Ge 0.5000 0.5000 0.0000
7 Pd 0.0000 0.0000 0.5000
8 Pt 0.0000 0.5000 0.8760
9 Pt 0.5000 0.0000 0.1240
10 Pt 0.5000 0.5000 0.5000


Record 8
Density functional theory data (GGA-PBE) for a relaxed structure of AcPuGe2Pd5.

abc: 4.3788 4.3788 9.2021
angles: 90.00 90.00 90.00
Fractional coordinates of all 9 atoms:
1 Ac 0.0000 0.0000 0.0000
2 Pu 0.0000 0.0000 0.5000
3 Ge 0.5000 0.5000 0.3648
4 Ge 0.5000 0.5000 0.6352
5 Pd 0.0000 0.5000 0.2341
6 Pd 0.0000 0.5000 0.7659
7 Pd 0.5000 0.0000 0.2341
8 Pd 0.5000 0.0000 0.7659
9 Pd 0.5000 0.5000 0.0000


Record 9
Density functional theory data (GGA-PBE) for a relaxed structure of AcPu2Ge2Pd7.

abc: 4.1644 4.1644 14.1786
angles: 95.99 95.99 88.96
Fractional coordinates of all 12 atoms:
1 Ac 0.0000 0.0000 0.0000
2 Pu 0.1141 0.1141 0.3605
3 Pu 0.8859 0.8859 0.6395
4 Ge 0.4114 0.4114 0.7383
5 Ge 0.5886 0.5886 0.2617
6 Pd 0.0549 0.5553 0.1640
7 Pd 0.3489 0.3489 0.5619
8 Pd 0.4447 0.9451 0.8360
9 Pd 0.5000 0.5000 0.0000
10 Pd 0.5553 0.0549 0.1640
11 Pd 0.6511 0.6511 0.4381
12 Pd 0.9451 0.4447 0.8360


Record 10
Density functional theory data (GGA-PBE) for a relaxed structure of Ac2PuGe3Pd4.

abc: 4.4497 4.4497 11.1655
angles: 90.00 90.00 90.00
Fractional coordinates of all 10 atoms:
1 Ac 0.0000 0.5000 0.2309
2 Ac 0.5000 0.0000 0.7691
3 Pu 0.0000 0.0000 0.5000
4 Ge 0.0000 0.5000 0.8837
5 Ge 0.5000 0.0000 0.1163
6 Ge 0.5000 0.5000 0.5000
7 Pd 0.0000 0.0000 0.0000
8 Pd 0.0000 0.5000 0.6573
9 Pd 0.5000 0.0000 0.3427
10 Pd 0.5000 0.5000 0.0000


Record 11
Density functional theory data (GGA-PBE) for a relaxed structure of AcGe2PdRh5.

abc: 4.7044 4.7044 7.3699
angles: 90.00 90.00 90.00
Fractional coordinates of all 9 atoms:
1 Ac 0.0000 0.0000 0.0000
2 Ge 0.5000 0.5000 0.3284
3 Ge 0.5000 0.5000 0.6716
4 Pd 0.0000 0.0000 0.5000
5 Rh 0.0000 0.5000 0.2954
6 Rh 0.0000 0.5000 0.7046
7 Rh 0.5000 0.0000 0.2954
8 Rh 0.5000 0.0000 0.7046
9 Rh 0.5000 0.5000 0.0000


Record 12
Density functional theory data (GGA-PBE) for a relaxed structure of Ac2Ge3PdRh4.

abc: 4.3019 4.3019 10.6860
angles: 90.00 90.00 90.00
Fractional coordinates of all 10 atoms:
1 Ac 0.0000 0.5000 0.2426
2 Ac 0.5000 0.0000 0.7574
3 Ge 0.0000 0.0000 0.0000
4 Ge 0.0000 0.5000 0.6206
5 Ge 0.5000 0.0000 0.3794
6 Pd 0.5000 0.5000 0.0000
7 Rh 0.0000 0.0000 0.5000
8 Rh 0.0000 0.5000 0.8528
9 Rh 0.5000 0.0000 0.1472
10 Rh 0.5000 0.5000 0.5000


| no. | raw total energy (eV per cell) |
| --- | --- |
| 1 | -28.8 |
| 2 | -62.4 |
| 3 | -56.8 |
| 4 | -35.5 |
| 5 | -56.7 |
| 6 | -94.7 |
| 7 | -59.3 |
| 8 | -59.5 |
| 9 | -85.1 |
| 10 | -64.7 |
| 11 | -56.9 |
| 12 | -64.4 |